# 1
Material: LaSmTlCo2
Method: DFT, PBE-GGA
State: optimized geometry

CIF file:
```
data_LaSmTlCo2
_chemical_formula_sum 'La2 Sm2 Tl2 Co4'
_symmetry_space_group_name_H-M 'A m m 2'
_symmetry_Int_Tables_number 38
_cell_length_a 4.020
_cell_length_b 3.901
_cell_length_c 14.350
_cell_angle_alpha 90.00
_cell_angle_beta 90.00
_cell_angle_gamma 90.00
loop_
_symmetry_equiv_pos_as_xyz
'x,y,z'
'-x,-y,z'
'-x,y,z'
'x,-y,z'
'x,y+1/2,z+1/2'
'-x,-y+1/2,z+1/2'
'-x,y+1/2,z+1/2'
'x,-y+1/2,z+1/2'
loop_
_atom_site_label
_atom_site_type_symbol
_atom_site_fract_x
_atom_site_fract_y
_atom_site_fract_z
_atom_site_occupancy
La1 La 0.000 0.000 0.000 1
Sm1 Sm 0.000 0.000 0.725 1
Tl1 Tl 0.500 0.000 0.359 1
Co1 Co 0.500 0.000 0.154 1
Co2 Co 0.500 0.000 0.573 1
```

E, eV/atom: -5.464

# 2
Material: Nd2NpP3
Method: DFT, PBE-GGA
State: optimized geometry

CIF file:
```
data_Nd2NpP3
_chemical_formula_sum 'Nd2 Np1 P3'
_symmetry_space_group_name_H-M 'P -3 m 1'
_symmetry_Int_Tables_number 164
_symmetry_space_group_name_Hall '-P 3 2"'
_cell_length_a 4.0828
_cell_length_b 4.0828
_cell_length_c 10.0537
_cell_angle_alpha 90.00
_cell_angle_beta 90.00
_cell_angle_gamma 120.00
loop_
_atom_site_label
_atom_site_type_symbol
_atom_site_fract_x
_atom_site_fract_y
_atom_site_fract_z
_atom_site_occupancy
Nd1 Nd 0.3333 0.6667 0.3321 1
Np1 Np 0.0000 0.0000 0.0000 1
P1 P 0.0000 0.0000 0.5000 1
P2 P 0.3333 0.6667 0.8479 1
```

E, eV/atom: -7.756

# 3
Material: SmSnAsO
Method: DFT, PBE-GGA
State: optimized geometry

CIF file:
```
data_SmSnAsO
_chemical_formula_sum 'Sm2 Sn2 As2 O2'
_symmetry_space_group_name_H-M 'P 4/n m m'
_symmetry_Int_Tables_number 129
_cell_length_a 4.179
_cell_length_b 4.179
_cell_length_c 10.027
_cell_angle_alpha 90.00
_cell_angle_beta 90.00
_cell_angle_gamma 90.00
loop_
_symmetry_equiv_pos_as_xyz
'x,y,z'
'-x,-y,-z'
'-y+1/2,x,z'
'y+1/2,-x,-z'
'-x+1/2,-y+1/2,z'
'x+1/2,y+1/2,-z'
'y,-x+1/2,z'
'-y,x+1/2,-z'
'x+1/2,-y,-z'
'-x+1/2,y,z'
'-y,-x,-z'
'y,x,z'
'-x,y+1/2,-z'
'x,-y+1/2,z'
'y+1/2,x+1/2,-z'
'-y+1/2,-x+1/2,z'
loop_
_atom_site_label
_atom_site_type_symbol
_atom_site_fract_x
_atom_site_fract_y
_atom_site_fract_z
_atom_site_occupancy
Sm1 Sm 0.250 0.250 0.105 1
Sn1 Sn 0.250 0.750 0.500 1
As1 As 0.250 0.250 0.724 1
O1 O 0.250 0.750 0.000 1
```

Offset from the most stable computed form, meV/atom: 0.0
E, eV/atom: -6.026

# 4
Material: Ni4GePC2
Method: DFT, PBE-GGA
State: optimized geometry

CIF file:
```
data_Ni4GePC2
_chemical_formula_sum 'Ni4 Ge1 P1 C2'
_symmetry_space_group_name_H-M 'P -6 m 2'
_symmetry_Int_Tables_number 187
_symmetry_space_group_name_Hall 'P -6 2'
_cell_length_a 3.0005
_cell_length_b 3.0005
_cell_length_c 11.4559
_cell_angle_alpha 90.00
_cell_angle_beta 90.00
_cell_angle_gamma 120.00
loop_
_atom_site_label
_atom_site_type_symbol
_atom_site_fract_x
_atom_site_fract_y
_atom_site_fract_z
_atom_site_occupancy
Ni1 Ni 0.0000 0.0000 0.1494 1
Ni2 Ni 0.3333 0.6667 0.3199 1
Ge1 Ge 0.0000 0.0000 0.5000 1
P1 P 0.3333 0.6667 0.0000 1
C1 C 0.6667 0.3333 0.2408 1
```

E, eV/atom: -5.943